A relaxed Na8Zr3Si16SnH16O52 crystal, computed with PBE-GGA.

Geometry as POSCAR:
```
Na8Zr3Si16SnH16O52
1.0
7.618 -0.002 -0.006
-0.011 8.966 0.011
-0.453 -0.081 16.950
Na Zr Si Sn H O
8 3 16 1 16 52
direct
0.392 0.815 0.604
0.891 0.812 0.104
0.609 0.317 0.898
0.107 0.314 0.395
0.109 0.188 0.896
0.608 0.185 0.396
0.893 0.686 0.605
0.391 0.683 0.102
0.000 0.000 0.500
0.500 0.500 0.500
0.000 0.500 0.000
0.887 0.342 0.584
0.388 0.336 0.083
0.118 0.843 0.918
0.612 0.840 0.415
0.612 0.664 0.917
0.113 0.658 0.416
0.388 0.160 0.585
0.882 0.157 0.082
0.750 0.061 0.661
0.248 0.056 0.156
0.251 0.563 0.841
0.750 0.558 0.340
0.752 0.944 0.844
0.250 0.939 0.339
0.250 0.442 0.660
0.749 0.437 0.159
0.500 0.000 0.000
0.066 0.891 0.672
0.565 0.884 0.170
0.936 0.391 0.829
0.434 0.386 0.328
0.435 0.116 0.830
0.934 0.109 0.328
0.566 0.614 0.672
0.064 0.609 0.171
0.152 0.795 0.742
0.648 0.790 0.241
0.848 0.295 0.759
0.350 0.288 0.258
0.352 0.210 0.759
0.848 0.205 0.258
0.650 0.712 0.742
0.152 0.705 0.241
0.880 0.960 0.610
0.382 0.953 0.107
0.118 0.461 0.890
0.619 0.457 0.391
0.618 0.047 0.893
0.120 0.040 0.390
0.381 0.543 0.609
0.882 0.539 0.110
0.743 0.465 0.558
0.243 0.458 0.056
0.261 0.971 0.942
0.757 0.964 0.442
0.757 0.542 0.944
0.257 0.535 0.442
0.243 0.036 0.558
0.739 0.029 0.058
0.816 0.237 0.659
0.319 0.231 0.157
0.185 0.739 0.842
0.684 0.734 0.341
0.681 0.769 0.843
0.184 0.763 0.341
0.316 0.266 0.659
0.815 0.261 0.158
0.144 0.806 0.684
0.642 0.799 0.183
0.856 0.307 0.817
0.356 0.301 0.316
0.358 0.201 0.817
0.856 0.194 0.316
0.644 0.699 0.684
0.144 0.693 0.183
0.048 0.445 0.624
0.548 0.441 0.122
0.953 0.945 0.881
0.452 0.943 0.374
0.452 0.559 0.878
0.952 0.555 0.376
0.548 0.057 0.626
0.047 0.055 0.119
0.948 0.231 0.514
0.450 0.229 0.011
0.061 0.731 0.988
0.550 0.731 0.485
0.550 0.771 0.989
0.052 0.769 0.486
0.450 0.269 0.515
0.939 0.269 0.012
0.252 0.504 0.750
0.748 0.496 0.250
0.753 0.004 0.753
0.247 0.996 0.247
```

Output
- E_tot (eV/atom) = -6.86
- mass density (Mg/m³) = 2.69
- V (Å³/atom) = 12.1

A relaxed Na2TiSi4H4O13 crystal, computed with PBE-GGA.

Geometry as POSCAR:
```
Na2TiSi4H4O13
1.0
8.857 0.000 0.000
0.000 7.462 0.013
0.000 3.454 8.332
Na Ti Si H O
4 2 8 8 26
direct
0.189 0.788 0.197
0.689 0.712 0.803
0.811 0.212 0.803
0.311 0.288 0.197
0.000 0.500 0.000
0.500 0.000 0.000
0.661 0.302 0.160
0.161 0.198 0.840
0.339 0.698 0.840
0.839 0.802 0.160
0.941 0.094 0.315
0.441 0.406 0.685
0.059 0.906 0.685
0.559 0.594 0.315
0.112 0.400 0.334
0.612 0.100 0.666
0.888 0.600 0.666
0.388 0.900 0.334
0.205 0.412 0.482
0.705 0.088 0.518
0.795 0.588 0.518
0.295 0.912 0.482
0.761 0.154 0.317
0.261 0.346 0.683
0.239 0.846 0.683
0.739 0.654 0.317
0.539 0.182 0.103
0.039 0.318 0.897
0.461 0.818 0.897
0.961 0.682 0.103
0.780 0.430 0.022
0.280 0.070 0.978
0.220 0.570 0.978
0.720 0.930 0.022
0.553 0.430 0.235
0.053 0.070 0.765
0.447 0.570 0.765
0.947 0.930 0.235
0.038 0.286 0.212
0.538 0.214 0.788
0.962 0.714 0.788
0.462 0.786 0.212
0.500 0.500 0.500
0.000 0.000 0.500
0.198 0.465 0.364
0.698 0.035 0.636
0.802 0.535 0.636
0.302 0.965 0.364
```

Output
- E_tot (eV/atom) = -6.88
- mass density (Mg/m³) = 2.52
- V (Å³/atom) = 11.5

A relaxed Na2TiSi4H4O13 crystal, computed with PBE-GGA.

Geometry as POSCAR:
```
Na2TiSi4H4O13
1.0
7.432 0.000 0.000
0.000 7.432 0.000
0.000 0.000 10.874
Na Ti Si H O
4 2 8 8 26
direct
0.500 0.500 0.168
0.000 0.000 0.832
0.500 0.500 0.832
0.000 0.000 0.168
0.000 0.500 0.220
0.500 0.000 0.780
0.259 0.820 0.356
0.741 0.180 0.356
0.759 0.680 0.644
0.241 0.320 0.644
0.820 0.259 0.644
0.180 0.741 0.644
0.680 0.759 0.356
0.320 0.241 0.356
0.221 0.628 0.014
0.779 0.372 0.014
0.721 0.872 0.986
0.279 0.128 0.986
0.628 0.221 0.986
0.372 0.779 0.986
0.872 0.721 0.014
0.128 0.279 0.014
0.464 0.748 0.327
0.536 0.252 0.327
0.964 0.752 0.673
0.036 0.248 0.673
0.748 0.464 0.673
0.252 0.536 0.673
0.752 0.964 0.327
0.248 0.036 0.327
0.117 0.729 0.264
0.883 0.271 0.264
0.617 0.771 0.736
0.383 0.229 0.736
0.729 0.117 0.736
0.271 0.883 0.736
0.771 0.617 0.264
0.229 0.383 0.264
0.000 0.500 0.060
0.500 0.000 0.940
0.215 0.785 0.500
0.785 0.215 0.500
0.715 0.715 0.500
0.285 0.285 0.500
0.351 0.649 0.000
0.649 0.351 0.000
0.851 0.851 0.000
0.149 0.149 0.000
```

Output
- E_tot (eV/atom) = -6.88
- mass density (Mg/m³) = 2.31
- V (Å³/atom) = 12.5

A relaxed Na2ZrSi4H4O13 crystal, computed with PBE-GGA.

Geometry as POSCAR:
```
Na2ZrSi4H4O13
1.0
8.971 0.000 0.000
0.000 7.646 0.003
0.000 3.585 8.501
Na Zr Si H O
4 2 8 8 26
direct
0.685 0.287 0.207
0.315 0.713 0.793
0.185 0.213 0.793
0.815 0.787 0.207
0.500 0.000 0.000
0.000 0.500 0.000
0.341 0.302 0.169
0.659 0.698 0.831
0.841 0.198 0.831
0.159 0.802 0.169
0.059 0.090 0.319
0.941 0.910 0.681
0.559 0.410 0.681
0.441 0.590 0.319
0.292 0.091 0.518
0.708 0.909 0.482
0.792 0.409 0.482
0.208 0.591 0.518
0.888 0.393 0.343
0.112 0.607 0.657
0.388 0.107 0.657
0.612 0.893 0.343
0.231 0.433 0.028
0.769 0.567 0.972
0.731 0.067 0.972
0.269 0.933 0.028
0.464 0.184 0.116
0.536 0.816 0.884
0.964 0.316 0.884
0.036 0.684 0.116
0.958 0.271 0.217
0.042 0.729 0.783
0.458 0.229 0.783
0.542 0.771 0.217
0.803 0.459 0.366
0.197 0.541 0.634
0.303 0.041 0.634
0.697 0.959 0.366
0.235 0.157 0.318
0.765 0.843 0.682
0.735 0.343 0.682
0.265 0.657 0.318
0.443 0.424 0.247
0.557 0.576 0.753
0.943 0.076 0.753
0.057 0.924 0.247
0.500 0.500 0.500
0.000 0.000 0.500
```

Output
- E_tot (eV/atom) = -6.96
- mass density (Mg/m³) = 2.63
- V (Å³/atom) = 12.1

A relaxed NaSrHO crystal, computed with PBE-GGA.

Geometry as POSCAR:
```
NaSrHO
1.0
-2.643 -0.794 2.771
0.445 -3.143 2.284
4.256 3.945 7.949
Na Sr H O
2 2 2 2
direct
0.805 0.805 0.584
0.195 0.195 0.416
0.606 0.606 0.182
0.394 0.394 0.818
0.695 0.695 0.916
0.305 0.305 0.084
0.109 0.109 0.672
0.891 0.891 0.328
```

Output
- E_tot (eV/atom) = -4.14
- mass density (Mg/m³) = 3.34
- V (Å³/atom) = 15.9

A relaxed NaTaHO2 crystal, computed with PBE-GGA.

Geometry as POSCAR:
```
NaTaHO2
1.0
4.011 0.000 0.000
0.000 4.011 0.000
0.000 0.000 3.715
Na H O Ta
1 1 2 1
direct
0.500 0.500 0.500
0.000 0.000 0.500
0.000 0.500 0.000
0.500 0.000 0.000
0.000 0.000 0.000
```

Output
- E_tot (eV/atom) = -6.96
- mass density (Mg/m³) = 6.58
- V (Å³/atom) = 12.0

A relaxed Na2TaHO4 crystal, computed with PBE-GGA.

Geometry as POSCAR:
```
Na2TaHO4
1.0
3.035 0.000 0.000
0.000 5.789 -0.025
0.000 2.110 5.038
Na Ta H O
2 1 1 4
direct
0.000 0.000 0.000
0.500 0.000 0.500
0.000 0.500 0.500
0.500 0.500 0.000
0.000 0.669 0.755
0.000 0.331 0.245
0.500 0.727 0.298
0.500 0.273 0.702
```

Output
- E_tot (eV/atom) = -6.33
- mass density (Mg/m³) = 5.47
- V (Å³/atom) = 11.1

A relaxed Na2TaH2O6 crystal, computed with PBE-GGA.

Geometry as POSCAR:
```
Na2TaH2O6
1.0
5.113 0.000 0.000
-2.556 4.428 0.000
0.000 0.000 5.390
Na Ta H O
2 1 2 6
direct
0.667 0.333 0.643
0.333 0.667 0.357
0.000 0.000 0.000
0.333 0.667 0.789
0.667 0.333 0.211
0.178 0.357 0.776
0.643 0.821 0.776
0.179 0.822 0.776
0.822 0.643 0.224
0.357 0.179 0.224
0.821 0.178 0.224
```

Output
- E_tot (eV/atom) = -5.84
- mass density (Mg/m³) = 4.42
- V (Å³/atom) = 11.1

A relaxed Na2TcHO4 crystal, computed with PBE-GGA.

Geometry as POSCAR:
```
Na2TcHO4
1.0
5.959 -1.054 -0.516
-1.058 5.959 -0.516
-2.746 -2.748 6.338
Na Tc H O
4 2 2 8
direct
0.500 0.000 0.000
0.500 0.000 0.500
0.000 0.000 0.500
0.500 0.500 0.000
0.500 0.500 0.500
0.000 0.000 0.000
0.000 0.500 0.000
0.000 0.500 0.500
0.114 0.736 0.024
0.764 0.386 0.476
0.236 0.614 0.524
0.886 0.264 0.976
0.828 0.930 0.142
0.570 0.672 0.358
0.430 0.328 0.642
0.172 0.070 0.858
```

Output
- E_tot (eV/atom) = -5.70
- mass density (Mg/m³) = 3.50
- V (Å³/atom) = 12.4

A relaxed NaTcHO4 crystal, computed with PBE-GGA.

Geometry as POSCAR:
```
NaTcHO4
1.0
-2.413 -2.846 -0.732
-0.664 -0.987 6.031
-0.984 11.105 1.709
Na Tc H O
2 2 2 8
direct
0.410 0.750 0.841
0.590 0.250 0.159
0.344 0.750 0.283
0.656 0.250 0.717
0.185 0.750 0.559
0.815 0.250 0.441
0.889 0.500 0.828
0.111 0.000 0.172
0.111 0.500 0.172
0.889 0.000 0.828
0.866 0.750 0.292
0.134 0.250 0.708
0.871 0.750 0.529
0.129 0.250 0.471
```

Output
- E_tot (eV/atom) = -6.36
- mass density (Mg/m³) = 3.33
- V (Å³/atom) = 13.2

A relaxed Na2TeHO crystal, computed with PBE-GGA.

Geometry as POSCAR:
```
Na2TeHO
1.0
5.395 0.000 0.000
0.000 2.903 0.000
0.000 0.000 5.395
Na Te O H
2 1 1 1
direct
0.000 0.000 0.500
0.500 0.000 0.000
0.500 0.500 0.500
0.000 0.000 0.000
0.000 0.500 0.000
```

Output
- E_tot (eV/atom) = -3.45
- mass density (Mg/m³) = 3.75
- V (Å³/atom) = 16.9
- E above lowest polymorph (meV/atom) = 0

A relaxed Na2Te2H4O7 crystal, computed with PBE-GGA.

Geometry as POSCAR:
```
Na2Te2H4O7
1.0
5.694 0.028 0.006
-1.384 6.203 0.036
-0.560 -0.863 11.748
Na Te H O
4 4 8 14
direct
0.395 0.719 0.952
0.605 0.281 0.048
0.897 0.719 0.435
0.103 0.281 0.565
0.959 0.951 0.137
0.041 0.049 0.863
0.546 0.996 0.637
0.454 0.004 0.363
0.419 0.605 0.194
0.581 0.395 0.806
0.792 0.581 0.863
0.208 0.419 0.137
0.943 0.649 0.688
0.057 0.351 0.312
0.275 0.536 0.364
0.725 0.464 0.636
0.765 0.997 0.951
0.235 0.003 0.049
0.271 0.952 0.497
0.729 0.048 0.503
0.120 0.901 0.281
0.880 0.099 0.719
0.065 0.762 0.825
0.935 0.238 0.175
0.526 0.734 0.327
0.474 0.266 0.673
0.869 0.570 0.615
0.131 0.430 0.385
0.363 0.517 0.120
0.637 0.483 0.880
```

Output
- E_tot (eV/atom) = -5.05
- mass density (Mg/m³) = 3.33
- V (Å³/atom) = 13.9
- E above lowest polymorph (meV/atom) = 0